1.
Material: TePdI2
Method: DFT, PBE
State: relaxed

a b c (Å): 7.591 7.591 7.591
angles (deg): 90.00 90.00 90.00
Space group Fm-3m (No. 225)
Asymmetric unit:
Te1 0.000 0.000 0.000
Pd1 0.000 0.000 0.500
I1 0.250 0.250 0.250

Calculated values
* formation energy from raw total energies: 0.556 eV per atom
* total magnetization: 0.0 μB per formula unit
* offset from the most stable computed form: 0.7905 eV/atom

2.
Material: TbSmGdSn
Method: DFT, PBE
State: relaxed

a b c (Å): 7.733 7.733 7.733
angles (deg): 90.00 90.00 90.00
Space group F-43m (No. 216)
Asymmetric unit:
Tb1 0.000 0.000 0.000
Sm1 0.250 0.250 0.750
Gd1 0.250 0.250 0.250
Sn1 0.000 0.000 0.500

Calculated values
* ΔE_f: -1.06 eV/f.u.
* total magnetization: 8.0 μB per formula unit

3.
Material: Cs2ReRu
Method: DFT, PBE
State: relaxed

a b c (Å): 13.262 13.262 4.663
angles (deg): 90.00 90.00 90.00
Space group I-42d (No. 122)
Asymmetric unit:
Cs1 0.067 0.750 0.125
Re1 0.000 0.000 0.500
Ru1 0.000 0.000 0.000

Calculated values
* ΔE_f: 5.96 eV/f.u.
* total magnetization: 3.0 μB per formula unit
* offset from the most stable computed form: 0.0000 eV/atom

4.
Material: LaEuDy2
Method: DFT, PBE
State: relaxed

a b c (Å): 3.693 3.693 10.250
angles (deg): 90.00 90.00 90.00
Space group P4/mmm (No. 123)
Asymmetric unit:
La1 0.000 0.000 0.000
Eu1 0.000 0.000 0.500
Dy1 0.500 0.500 0.241

Calculated values
* ΔE_f: 0.28 eV/f.u.
* total magnetization: 7.7 μB per formula unit
* offset from the most stable computed form: 0.0149 eV/atom

5.
Material: Hf3ZrSb6
Method: DFT, PBE
State: relaxed

a b c (Å): 10.477 3.830 12.568
angles (deg): 90.00 100.21 90.00
Space group P2_1/m (No. 11)
Asymmetric unit:
Hf1 0.147 0.250 0.078
Hf2 0.335 0.250 0.845
Hf3 0.336 0.750 0.471
Zr1 0.019 0.250 0.702
Sb1 0.119 0.250 0.463
Sb2 0.127 0.750 0.898
Sb3 0.229 0.750 0.674
Sb4 0.241 0.750 0.239
Sb5 0.446 0.250 0.086
Sb6 0.458 0.250 0.647

Calculated values
* formation energy from raw total energies: -0.386 eV per atom
* total magnetization: 0.0 μB per formula unit

6.
Material: YSb2Rh2
Method: DFT, PBE
State: relaxed

a b c (Å): 4.783 4.783 9.471
angles (deg): 90.00 90.00 90.00
Space group I4/mmm (No. 139)
Asymmetric unit:
Y1 0.000 0.000 0.000
Sb1 0.000 0.500 0.250
Rh1 0.000 0.000 0.362

Calculated values
* formation energy from raw total energies: -0.560 eV per atom
* total magnetization: 0.0 μB per formula unit

7.
Material: BiTe2PbN
Method: DFT, PBE
State: relaxed

a b c (Å): 5.954 5.954 4.284
angles (deg): 90.00 90.00 90.00
Space group P4/mmm (No. 123)
Asymmetric unit:
Bi1 0.000 0.000 0.000
Te1 0.000 0.500 0.500
Pb1 0.500 0.500 0.500
N1 0.500 0.500 0.000

Calculated values
* formation energy from raw total energies: 0.921 eV per atom
* total magnetization: 1.3 μB per formula unit
* offset from the most stable computed form: 0.1910 eV/atom

8.
Material: SrLaTm
Method: DFT, PBE
State: relaxed

a b c (Å): 3.7788 3.7788 9.4003
angles (deg): 90.00 90.00 120.00
Space group P3m1 (No. 156)
Asymmetric unit:
Sr1 0.0000 0.0000 0.0000
La1 0.3333 0.6667 0.6317
Tm1 0.6667 0.3333 0.3387

Calculated values
* ΔE_f: 0.41 eV/f.u.
* total magnetization: 0.0 μB per formula unit
* offset from the most stable computed form: 0.0143 eV/atom

9.
Material: Sc3CdIn
Method: DFT, PBE
State: relaxed

a b c (Å): 5.348 5.348 5.348
angles (deg): 90.00 90.00 90.00
Space group Pm-3m (No. 221)
Asymmetric unit:
Sc1 0.000 0.000 0.500
Cd1 0.500 0.500 0.500
In1 0.000 0.000 0.000

Calculated values
* ΔE_f: 2.15 eV/f.u.
* total magnetization: 1.8 μB per formula unit
* offset from the most stable computed form: 0.7249 eV/atom

10.
Material: NaGeF4
Method: DFT, PBE
State: relaxed

a b c (Å): 5.651 5.675 5.437
angles (deg): 90.00 90.00 90.00
Space group Pmn2_1 (No. 31)
Asymmetric unit:
Na1 0.000 0.061 0.000
Ge1 0.000 0.507 0.465
F1 0.000 0.205 0.622
F2 0.000 0.806 0.304
F3 0.248 0.376 0.197

Calculated values
* formation energy from raw total energies: -2.317 eV per atom
* total magnetization: 0.0 μB per formula unit